First-principles (PBE-GGA) data for Ce2PbCl11 after structural relaxation, as listed in the Alexandria database.

Cell: 10.8333 10.8333 10.8333 Å, 122.02 106.50 100.71°
Closest atoms and distances in Å follow each position.
Fractional coordinates of all 28 atoms:
1 Ce 0.1939 0.1596 0.3535  6 Cl 2.60-2.84
2 Ce 0.3061 0.6596 0.9657  6 Cl 2.60-2.84
3 Ce 0.6939 0.3404 0.0343  6 Cl 2.60-2.84
4 Ce 0.8061 0.8404 0.6465  6 Cl 2.60-2.84
5 Pb 0.2500 0.7500 0.5000  8 Cl 2.98-3.09
6 Pb 0.7500 0.2500 0.5000  8 Cl 2.98-3.09
7 Cl 0.0000 0.0000 0.0000  2 Cl 2.75, 2 Ce 3.02
8 Cl 0.0373 0.4711 0.7846  1 Ce 2.61
9 Cl 0.0477 0.8585 0.6428  1 Ce 2.60
10 Cl 0.1865 0.9711 0.4338  1 Ce 2.61
11 Cl 0.1935 0.8916 0.0851  1 Cl 2.75, 2 Ce 2.81-2.84
12 Cl 0.2158 0.4049 0.3572  1 Ce 2.60
13 Cl 0.2842 0.6415 0.1892  1 Ce 2.60
14 Cl 0.3065 0.3916 0.6981  1 Cl 2.75, 2 Ce 2.81-2.84
15 Cl 0.3135 0.7473 0.7846  1 Ce 2.61
16 Cl 0.4523 0.0951 0.8108  1 Ce 2.60
17 Cl 0.4627 0.2473 0.4338  1 Ce 2.61
18 Cl 0.5000 0.5000 0.0000  2 Cl 2.75, 2 Ce 3.02
19 Cl 0.5373 0.7527 0.5662  1 Ce 2.61
20 Cl 0.5477 0.9049 0.1892  1 Ce 2.60
21 Cl 0.6865 0.2527 0.2154  1 Ce 2.61
22 Cl 0.6935 0.6084 0.3019  1 Cl 2.75, 2 Ce 2.81-2.84
23 Cl 0.7158 0.3585 0.8108  1 Ce 2.60
24 Cl 0.7842 0.5951 0.6428  1 Ce 2.60
25 Cl 0.8065 0.1084 0.9149  1 Cl 2.75, 2 Ce 2.81-2.84
26 Cl 0.8135 0.0289 0.5662  1 Ce 2.61
27 Cl 0.9523 0.1415 0.3572  1 Ce 2.60
28 Cl 0.9627 0.5289 0.2154  1 Ce 2.61

Values from the calculation:
space group	Ibam (72)
formation energy from raw total energies	-35.018	kcal/mol of atoms